No. 1
A relaxed RuPb2Au crystal, computed with GGA-PBE.

Cell: 7.2000 7.1886 3.2935 Å, 90.00 90.15 90.00°
Last column: nearest neighbours and their distance in Å.
Space group C2/m (No. 12)
Inequivalent atoms, fractional coordinates:
Ru 0.0000 0.0000 0.0000  8 Pb 3.03, 2 Ru 3.29
Pb 0.2500 0.2500 0.5000  4 Ru 3.03, 4 Au 3.03, 2 Pb 3.29
Au 0.0000 0.5000 0.0000  8 Pb 3.03, 2 Au 3.29

## Properties
* ΔH_f (0 K): 0.3950 eV/atom
* energy above the most stable polymorph in this dataset: 149 meV per atom
* total magnetic moment: 0.00 μB per formula unit

No. 2
A relaxed RuPb2Au crystal, computed with GGA-PBE.

Cell: 3.2688 3.2893 8.4065 Å, 90.00 90.82 90.00°
Last column: nearest neighbours and their distance in Å.
Space group P2/m (No. 10)
Inequivalent atoms, fractional coordinates:
Ru 0.0000 0.0000 0.0000  8 Pb 2.90-2.91
Pb 0.4907 0.5000 0.7921  4 Ru 2.90-2.91, 2 Au 2.96
Au 0.5000 0.0000 0.5000  4 Pb 2.96, 4 Au 3.27-3.29

## Properties
* ΔH_f (0 K): 0.3191 eV/atom
* energy above the most stable polymorph in this dataset: 73 meV per atom
* total magnetic moment: 0.00 μB per formula unit

No. 3
A relaxed RuPb2Au crystal, computed with GGA-PBE.

Cell: 9.0801 3.4531 5.6975 Å, 90.00 102.36 90.00°
Last column: nearest neighbours and their distance in Å.
Space group C2/m (No. 12)
Inequivalent atoms, fractional coordinates:
Ru 0.0000 0.0000 0.0000  6 Pb 2.87-2.94
Pb 0.2397 0.5000 0.2311  3 Ru 2.87-2.94, 3 Au 2.92-3.06, 2 Pb 3.19
Au 0.0000 0.5000 0.5000  6 Pb 2.92-3.06

## Properties
* ΔH_f (0 K): 0.4554 eV/atom
* energy above the most stable polymorph in this dataset: 209 meV per atom
* total magnetic moment: 0.00 μB per formula unit

No. 4
A relaxed RuPb2Au crystal, computed with GGA-PBE.

Cell: 3.1650 4.5070 12.9421 Å, 90.00 90.00 90.00°
Last column: nearest neighbours and their distance in Å.
Space group Imm2 (No. 44)
Inequivalent atoms, fractional coordinates:
Ru 0.0000 0.0000 0.0000  6 Pb 2.76-3.02, 2 Au 2.85
Pb 0.0000 0.0000 0.5085  4 Ru 2.76
Pb 0.0000 0.5000 0.3010  2 Ru 3.02, 4 Au 3.15, 2 Pb 3.17
Au 0.0000 0.5000 0.6834  2 Ru 2.85, 6 Pb 3.15-3.19, 2 Au 3.17

## Properties
* ΔH_f (0 K): 0.2678 eV/atom
* energy above the most stable polymorph in this dataset: 22 meV per atom
* total magnetic moment: 0.00 μB per formula unit

No. 5
A relaxed RuPb2Au crystal, computed with GGA-PBE.

Cell: 7.0186 7.0186 7.0186 Å, 90.00 90.00 90.00°
Last column: nearest neighbours and their distance in Å.
Space group Fm-3m (No. 225)
Inequivalent atoms, fractional coordinates:
Ru 0.0000 0.0000 0.0000  8 Pb 3.04
Pb 0.2500 0.2500 0.2500  4 Ru 3.04, 4 Au 3.04
Au 0.0000 0.0000 0.5000  8 Pb 3.04

## Properties
* ΔH_f (0 K): 0.4810 eV/atom
* energy above the most stable polymorph in this dataset: 235 meV per atom
* total magnetic moment: 0.86 μB per formula unit

No. 6
A relaxed Ru2PbAu crystal, computed with GGA-PBE.

Cell: 6.5689 6.5689 6.5689 Å, 90.00 90.00 90.00°
Last column: nearest neighbours and their distance in Å.
Space group F-43m (No. 216)
Inequivalent atoms, fractional coordinates:
Ru 0.0000 0.0000 0.0000  4 Pb 2.84, 4 Ru 2.84
Ru 0.2500 0.2500 0.2500  4 Ru 2.84, 4 Au 2.84
Pb 0.2500 0.2500 0.7500  4 Ru 2.84, 4 Au 2.84
Au 0.0000 0.0000 0.5000  4 Pb 2.84, 4 Ru 2.84

## Properties
* ΔH_f (0 K): 0.6709 eV/atom
* total magnetic moment: 2.10 μB per formula unit

No. 7
A relaxed Ru2PbAu crystal, computed with GGA-PBE.

Cell: 2.8960 3.5279 7.5215 Å, 90.00 99.65 90.00°
Last column: nearest neighbours and their distance in Å.
Space group Pm (No. 6)
Inequivalent atoms, fractional coordinates:
Ru 0.0000 0.0000 0.0000  4 Ru 2.57, 2 Au 2.87
Ru 0.4305 0.5000 0.8403  4 Ru 2.57
Pb 0.8152 0.0000 0.5650  2 Pb 2.90, 2 Au 3.01, 5 Ru 3.06-3.23
Au 0.6058 0.5000 0.2363  5 Ru 2.87-2.94, 2 Au 2.90, 2 Pb 3.01

## Properties
* ΔH_f (0 K): 0.3804 eV/atom
* total magnetic moment: 0.00 μB per formula unit

No. 8
A relaxed RuPb2Au crystal, computed with GGA-PBE.

Cell: 3.2660 3.2660 30.1059 Å, 90.00 90.00 120.00°
Last column: nearest neighbours and their distance in Å.
Space group R3m (No. 160, hexagonal axes)
Inequivalent atoms, fractional coordinates:
Ru 0.0000 0.0000 0.0000  3 Au 2.80, 3 Pb 2.83
Pb 0.0000 0.0000 0.2631  3 Ru 2.83
Pb 0.0000 0.0000 0.4822  3 Au 3.06, 6 Pb 3.27
Au 0.0000 0.0000 0.7355  3 Ru 2.80, 3 Pb 3.06

## Properties
* ΔH_f (0 K): 0.4232 eV/atom
* energy above the most stable polymorph in this dataset: 177 meV per atom
* total magnetic moment: 0.70 μB per formula unit

No. 9
A relaxed RuPb2Au crystal, computed with GGA-PBE.

Cell: 3.3553 3.3553 8.0660 Å, 90.00 90.00 90.00°
Last column: nearest neighbours and their distance in Å.
Space group P4mm (No. 99)
Inequivalent atoms, fractional coordinates:
Ru 0.0000 0.0000 0.0000  4 Au 2.84, 4 Pb 2.89
Pb 0.0000 0.0000 0.4251  4 Au 3.02, 4 Pb 3.36
Pb 0.5000 0.5000 0.7949  4 Ru 2.89, 1 Au 3.22
Au 0.5000 0.5000 0.1945  4 Ru 2.84, 4 Pb 3.02

## Properties
* ΔH_f (0 K): 0.2984 eV/atom
* energy above the most stable polymorph in this dataset: 52 meV per atom
* total magnetic moment: 0.00 μB per formula unit

No. 10
A relaxed RuPb2Au crystal, computed with GGA-PBE.

Cell: 4.6278 4.6278 8.0215 Å, 90.00 90.00 90.00°
Last column: nearest neighbours and their distance in Å.
Space group I4/mmm (No. 139)
Inequivalent atoms, fractional coordinates:
Ru 0.0000 0.0000 0.0000  8 Pb 3.06, 4 Au 3.27
Pb 0.0000 0.5000 0.2500  4 Ru 3.06, 4 Au 3.06, 4 Pb 3.27
Au 0.0000 0.0000 0.5000  8 Pb 3.06, 4 Ru 3.27

## Properties
* ΔH_f (0 K): 0.4632 eV/atom
* energy above the most stable polymorph in this dataset: 217 meV per atom
* total magnetic moment: 0.92 μB per formula unit

No. 11
A relaxed RuPb2Au crystal, computed with GGA-PBE.

Cell: 4.4637 3.5404 10.9782 Å, 90.00 90.00 90.00°
Last column: nearest neighbours and their distance in Å.
Space group Amm2 (No. 38)
Inequivalent atoms, fractional coordinates:
Ru 0.0000 0.0000 0.0000  2 Au 2.87, 7 Pb 2.92-3.12
Pb 0.0000 0.0000 0.7338  3 Ru 2.92-3.12, 4 Au 2.95
Pb 0.5000 0.0000 0.4374  4 Ru 2.93, 3 Au 3.00-3.05
Au 0.5000 0.0000 0.1641  2 Ru 2.87, 7 Pb 2.95-3.05

## Properties
* ΔH_f (0 K): 0.2460 eV/atom
* energy above the most stable polymorph in this dataset: 0 meV per atom
* total magnetic moment: 0.00 μB per formula unit

No. 12
A relaxed Ru2PbAu crystal, computed with GGA-PBE.

Cell: 9.0373 3.0563 5.3154 Å, 90.00 103.57 90.00°
Last column: nearest neighbours and their distance in Å.
Space group C2/m (No. 12)
Inequivalent atoms, fractional coordinates:
Ru 0.2467 0.0000 0.2885  2 Ru 2.71, 3 Au 2.72-2.76, 2 Pb 2.84
Pb 0.0000 0.5000 0.0000  6 Ru 2.84-3.04, 2 Pb 3.06, 4 Au 3.07
Au 0.0000 0.0000 0.5000  6 Ru 2.72-2.76

## Properties
* ΔH_f (0 K): 0.5043 eV/atom
* total magnetic moment: 0.00 μB per formula unit

Number 1: N(E_F) 0.635 states/eV/atom. Number 2: N(E_F) 0.604 states/eV/atom. Number 3: N(E_F) 0.694 states/eV/atom. Number 4: N(E_F) 0.710 states/eV/atom. Number 5: N(E_F) 0.944 states/eV/atom. Number 6: N(E_F) 1.317 states/eV/atom. Number 7: N(E_F) 0.910 states/eV/atom. Number 8: N(E_F) 0.766 states/eV/atom. Number 9: N(E_F) 0.661 states/eV/atom. Number 10: N(E_F) 0.581 states/eV/atom. Number 11: N(E_F) 0.601 states/eV/atom. Number 12: N(E_F) 0.871 states/eV/atom.